## A
Computed, not measured: a relaxed structure of MnAg2Au5 at the PBE level of DFT.

Calculated values
- spin magnetization (μB/atom) = 0.546
- crystal system = tetragonal

Lattice parameters (Å, degrees): 8.7248 8.7248 8.7248 152.55 152.55 39.21
Closest atoms and distances in Å follow each position.
Positions (direct):
Mn: 0.0000 0.0000 0.0000  12 Au 2.88-2.93
Ag: 0.2511 0.2511 0.0000  4 Ag 2.93, 8 Au 2.94-2.96
Ag: 0.7489 0.7489 0.0000  4 Ag 2.93, 8 Au 2.94-2.96
Au: 0.1221 0.6221 0.5000  2 Mn 2.88, 6 Au 2.88-2.93, 4 Ag 2.94-2.96
Au: 0.3779 0.8779 0.5000  6 Au 2.88-2.93, 2 Mn 2.88, 4 Ag 2.94-2.96
Au: 0.5000 0.5000 0.0000  8 Au 2.88, 4 Mn 2.93
Au: 0.6221 0.1221 0.5000  2 Mn 2.88, 6 Au 2.88-2.93, 4 Ag 2.94-2.96
Au: 0.8779 0.3779 0.5000  6 Au 2.88-2.93, 2 Mn 2.88, 4 Ag 2.94-2.96

## B
Computed, not measured: a relaxed structure of MnAg2Au5 at the PBE level of DFT.

Calculated values
- spin magnetization (μB/atom) = 0.560
- crystal system = triclinic

Lattice parameters (Å, degrees): 4.9657 5.7500 10.5793 83.92 85.88 73.34
Closest atoms and distances in Å follow each position.
Positions (direct):
Mn: 0.2036 0.2562 0.3167  8 Au 2.70-2.90, 2 Ag 2.86-2.95
Mn: 0.7964 0.7438 0.6833  8 Au 2.70-2.90, 2 Ag 2.86-2.95
Ag: 0.2276 0.8085 0.0545  10 Au 2.81-3.06, 1 Ag 2.88
Ag: 0.2681 0.9157 0.5639  7 Au 2.85-2.96, 3 Mn 2.86-3.07, 2 Ag 2.94
Ag: 0.7319 0.0843 0.4361  7 Au 2.85-2.96, 3 Mn 2.86-3.07, 2 Ag 2.94
Ag: 0.7724 0.1915 0.9455  10 Au 2.81-3.06, 1 Ag 2.88
Au: 0.2076 0.7551 0.3219  3 Ag 2.81-2.88, 2 Mn 2.87-2.88, 6 Au 2.88-3.01
Au: 0.2202 0.3110 0.0595  1 Mn 2.70, 4 Ag 2.84-2.89, 4 Au 2.86-2.99
Au: 0.2569 0.4164 0.5613  7 Au 2.82-3.05, 2 Mn 2.84-2.89, 3 Ag 2.86-2.91
Au: 0.3233 0.5922 0.8038  7 Au 2.84-3.09, 2 Mn 2.86-2.90, 3 Ag 2.96-3.06
Au: 0.3310 0.0834 0.8087  7 Au 2.84-3.05, 1 Mn 2.90, 4 Ag 2.92-2.99
Au: 0.6690 0.9166 0.1913  7 Au 2.84-3.05, 1 Mn 2.90, 4 Ag 2.92-2.99
Au: 0.6767 0.4078 0.1962  7 Au 2.84-3.09, 2 Mn 2.86-2.90, 3 Ag 2.96-3.06
Au: 0.7431 0.5836 0.4387  7 Au 2.82-3.05, 2 Mn 2.84-2.89, 3 Ag 2.86-2.91
Au: 0.7798 0.6890 0.9405  1 Mn 2.70, 4 Ag 2.84-2.89, 4 Au 2.86-2.99
Au: 0.7924 0.2449 0.6781  3 Ag 2.81-2.88, 2 Mn 2.87-2.88, 6 Au 2.88-3.01

Tell me which of them is the least stable. Sure, it is B.

## A
Computed, not measured: a relaxed structure of MnAgAu4 at the PBE level of DFT.

Calculated values
- spin magnetization (μB/atom) = 0.701
- crystal system = tetragonal

Lattice parameters (Å, degrees): 3.4463 3.4463 8.9152 90.00 90.00 90.00
Closest atoms and distances in Å follow each position.
Positions (direct):
Mn: 0.0000 0.0000 0.0000  10 Au 2.81-2.94
Ag: 0.5000 0.5000 0.5000  10 Au 2.87-3.05
Au: 0.0000 0.0000 0.3293  4 Ag 2.87, 5 Au 2.88-3.04, 1 Mn 2.94
Au: 0.0000 0.0000 0.6707  4 Ag 2.87, 5 Au 2.88-3.04, 1 Mn 2.94
Au: 0.5000 0.5000 0.1579  4 Mn 2.81, 5 Au 2.82-2.88, 1 Ag 3.05
Au: 0.5000 0.5000 0.8421  4 Mn 2.81, 5 Au 2.82-2.88, 1 Ag 3.05

## B
Computed, not measured: a relaxed structure of MnAgAu4 at the PBE level of DFT.

Calculated values
- spin magnetization (μB/atom) = 0.740
- crystal system = cubic

Lattice parameters (Å, degrees): 5.4679 5.4679 5.4679 60.00 60.00 60.00
Closest atoms and distances in Å follow each position.
Positions (direct):
Mn: 0.0000 0.0000 0.0000  12 Au 3.21, 4 Ag 3.35
Ag: 0.2500 0.2500 0.2500  12 Au 3.21, 4 Mn 3.35
Au: 0.1249 0.6250 0.6250  6 Au 2.73
Au: 0.6250 0.1249 0.6250  6 Au 2.73
Au: 0.6250 0.6250 0.1249  6 Au 2.73
Au: 0.6250 0.6250 0.6250  6 Au 2.73

Tell me which of them is the least stable. Sure, it is B.

## A
Computed, not measured: a relaxed structure of MnAg2Au6 at the PBE level of DFT.

Calculated values
- spin magnetization (μB/atom) = 0.467
- crystal system = monoclinic

Lattice parameters (Å, degrees): 5.0839 5.0839 8.7669 106.80 106.80 47.63
Closest atoms and distances in Å follow each position.
Positions (direct):
Mn: 0.0000 0.0000 0.0000  12 Au 2.87-2.92
Ag: 0.3333 0.3333 0.4455  3 Ag 2.91-2.94, 9 Au 2.93-2.97
Ag: 0.6667 0.6667 0.5545  3 Ag 2.91-2.94, 9 Au 2.93-2.97
Au: 0.0029 0.0029 0.6707  1 Mn 2.90, 6 Au 2.90-2.98, 5 Ag 2.93-2.97
Au: 0.3309 0.3309 0.1079  8 Au 2.87-2.94, 3 Mn 2.92, 1 Ag 2.95
Au: 0.3407 0.3407 0.7826  2 Mn 2.87, 7 Au 2.88-2.98, 3 Ag 2.93-2.96
Au: 0.6593 0.6593 0.2174  2 Mn 2.87, 7 Au 2.88-2.98, 3 Ag 2.93-2.96
Au: 0.6691 0.6691 0.8921  8 Au 2.87-2.94, 3 Mn 2.92, 1 Ag 2.95
Au: 0.9971 0.9971 0.3293  1 Mn 2.90, 6 Au 2.90-2.98, 5 Ag 2.93-2.97

## B
Computed, not measured: a relaxed structure of MnAg2Au6 at the PBE level of DFT.

Calculated values
- spin magnetization (μB/atom) = 0.490
- crystal system = monoclinic

Lattice parameters (Å, degrees): 7.9902 7.9902 5.3983 97.17 97.17 76.96
Closest atoms and distances in Å follow each position.
Positions (direct):
Mn: 0.1069 0.8931 0.7500  8 Au 2.67-2.89
Mn: 0.8931 0.1069 0.2500  8 Au 2.67-2.89
Ag: 0.2757 0.3356 0.0998  2 Ag 2.76, 8 Au 2.81-3.06
Ag: 0.3356 0.2757 0.5998  2 Ag 2.76, 8 Au 2.81-3.06
Ag: 0.6644 0.7243 0.4002  2 Ag 2.76, 8 Au 2.81-3.06
Ag: 0.7243 0.6644 0.9002  2 Ag 2.76, 8 Au 2.81-3.06
Au: 0.0065 0.7651 0.2414  2 Mn 2.67-2.89, 4 Au 2.84-2.97, 1 Ag 2.92
Au: 0.0575 0.5702 0.7410  1 Mn 2.69, 3 Ag 2.81-2.98, 5 Au 2.83-2.97
Au: 0.2349 0.9935 0.2586  2 Mn 2.67-2.89, 4 Au 2.84-2.97, 1 Ag 2.92
Au: 0.3424 0.6240 0.4926  6 Au 2.72-2.94, 1 Mn 2.86, 3 Ag 2.93-3.02
Au: 0.3760 0.6576 0.0074  6 Au 2.72-2.94, 1 Mn 2.86, 3 Ag 2.93-3.02
Au: 0.4298 0.9425 0.7590  1 Mn 2.69, 3 Ag 2.81-2.98, 5 Au 2.83-2.97
Au: 0.5702 0.0575 0.2410  1 Mn 2.69, 3 Ag 2.81-2.98, 5 Au 2.83-2.97
Au: 0.6240 0.3424 0.9926  6 Au 2.72-2.94, 1 Mn 2.86, 3 Ag 2.93-3.02
Au: 0.6576 0.3760 0.5074  6 Au 2.72-2.94, 1 Mn 2.86, 3 Ag 2.93-3.02
Au: 0.7651 0.0065 0.7414  2 Mn 2.67-2.89, 4 Au 2.84-2.97, 1 Ag 2.92
Au: 0.9425 0.4298 0.2590  1 Mn 2.69, 3 Ag 2.81-2.98, 5 Au 2.83-2.97
Au: 0.9935 0.2349 0.7586  2 Mn 2.67-2.89, 4 Au 2.84-2.97, 1 Ag 2.92

Tell me which of them is the least stable. Sure, it is B.

## A
Computed, not measured: a relaxed structure of Ag2MoAu at the PBE level of DFT.

Calculated values
- spin magnetization (μB/atom) = 0.155
- crystal system = monoclinic

Lattice parameters (Å, degrees): 2.7317 4.9110 5.1737 90.00 91.97 90.00
Closest atoms and distances in Å follow each position.
Positions (direct):
Ag: 0.2147 0.0000 0.2445  6 Ag 2.73-3.02, 2 Au 2.86, 2 Mo 2.88
Ag: 0.7853 0.0000 0.7555  6 Ag 2.73-3.02, 2 Au 2.86, 2 Mo 2.88
Mo: 0.5000 0.5000 0.0000  2 Mo 2.73, 4 Ag 2.88, 4 Au 2.88-2.97
Au: 0.0000 0.5000 0.5000  2 Au 2.73, 4 Ag 2.86, 4 Mo 2.88-2.97

## B
Computed, not measured: a relaxed structure of Ag2MoAu at the PBE level of DFT.

Calculated values
- spin magnetization (μB/atom) = 0.365
- crystal system = orthorhombic

Lattice parameters (Å, degrees): 5.2640 5.2640 2.7345 90.00 90.00 112.54
Closest atoms and distances in Å follow each position.
Positions (direct):
Ag: 0.0000 0.5000 0.0000  4 Ag 2.73-2.92, 4 Mo 2.97, 4 Au 2.97
Ag: 0.5000 0.0000 0.0000  4 Ag 2.73-2.92, 4 Mo 2.97, 4 Au 2.97
Mo: 0.0000 0.0000 0.5000  2 Mo 2.73, 2 Au 2.92, 8 Ag 2.97
Au: 0.5000 0.5000 0.5000  2 Au 2.73, 2 Mo 2.92, 8 Ag 2.97

## C
Computed, not measured: a relaxed structure of Ag2MoAu at the PBE level of DFT.

Calculated values
- spin magnetization (μB/atom) = 0.000
- crystal system = tetragonal

Lattice parameters (Å, degrees): 2.8096 2.8096 8.6763 90.00 90.00 90.00
Closest atoms and distances in Å follow each position.
Positions (direct):
Ag: 0.0000 0.0000 0.0000  8 Ag 2.81-2.96, 4 Mo 2.93
Ag: 0.5000 0.5000 0.2535  8 Ag 2.81-2.96, 4 Au 2.99
Mo: 0.5000 0.5000 0.7518  4 Mo 2.81, 4 Au 2.88, 4 Ag 2.93
Au: 0.0000 0.0000 0.5116  4 Au 2.81, 4 Mo 2.88, 4 Ag 2.99

## D
Computed, not measured: a relaxed structure of Ag2MoAu at the PBE level of DFT.

Calculated values
- spin magnetization (μB/atom) = 0.000
- crystal system = tetragonal

Lattice parameters (Å, degrees): 5.9616 5.9616 5.9616 102.04 102.04 125.64
Closest atoms and distances in Å follow each position.
Positions (direct):
Ag: 0.1227 0.6250 0.9977  2 Ag 2.72, 2 Mo 2.73, 2 Au 2.75
Ag: 0.3750 0.3727 0.4977  2 Ag 2.72, 2 Mo 2.73, 2 Au 2.75
Ag: 0.6273 0.1250 0.0023  2 Ag 2.72, 2 Mo 2.73, 2 Au 2.75
Ag: 0.8750 0.8773 0.5023  2 Ag 2.72, 2 Mo 2.73, 2 Au 2.75
Mo: 0.0000 0.0000 0.0000  2 Au 2.72, 4 Ag 2.73
Mo: 0.7500 0.2500 0.5000  2 Au 2.72, 4 Ag 2.73
Au: 0.2500 0.7500 0.5000  2 Mo 2.72, 4 Ag 2.75
Au: 0.5000 0.5000 0.0000  2 Mo 2.72, 4 Ag 2.75

Tell me which of them is the least stable. Sure, it is D.

## A
Computed, not measured: a relaxed structure of Ag2MoAu at the PBE level of DFT.

Calculated values
- spin magnetization (μB/atom) = 0.135
- crystal system = orthorhombic

Lattice parameters (Å, degrees): 2.7734 4.9902 5.0788 90.00 90.00 90.00
Closest atoms and distances in Å follow each position.
Positions (direct):
Ag: 0.0000 0.0000 0.0000  6 Ag 2.77-2.85, 4 Au 2.89
Ag: 0.5000 0.5000 0.0000  6 Ag 2.77-2.85, 4 Mo 2.89
Mo: 0.0000 0.5000 0.5000  2 Mo 2.77, 4 Au 2.85, 4 Ag 2.89
Au: 0.5000 0.0000 0.5000  2 Au 2.77, 4 Mo 2.85, 4 Ag 2.89

## B
Computed, not measured: a relaxed structure of Ag2MoAu at the PBE level of DFT.

Calculated values
- spin magnetization (μB/atom) = 0.000
- crystal system = monoclinic

Lattice parameters (Å, degrees): 4.9722 4.9722 5.2668 96.81 96.81 32.26
Closest atoms and distances in Å follow each position.
Positions (direct):
Ag: 0.0000 0.0000 0.0000  5 Ag 2.76-2.91, 4 Au 2.92-3.03, 3 Mo 2.95-2.97
Ag: 0.2475 0.2475 0.7696  5 Ag 2.76-2.91, 3 Au 2.94-3.01, 4 Mo 2.95-2.99
Mo: 0.7488 0.7488 0.2740  2 Mo 2.76, 3 Au 2.80-2.83, 7 Ag 2.95-2.99
Au: 0.4942 0.4942 0.4874  2 Au 2.76, 3 Mo 2.80-2.83, 7 Ag 2.92-3.03

Tell me which of them is the least stable. Sure, it is A.

## A
Computed, not measured: a relaxed structure of Ag2MoAu at the PBE level of DFT.

Calculated values
- spin magnetization (μB/atom) = 0.084
- crystal system = trigonal

Lattice parameters (Å, degrees): 9.8906 9.8906 9.8906 16.64 16.64 16.64
Closest atoms and distances in Å follow each position.
Positions (direct):
Ag: 0.2486 0.2486 0.2486  6 Ag 2.86, 3 Mo 2.91, 3 Au 2.98
Ag: 0.7514 0.7514 0.7514  6 Ag 2.86, 3 Mo 2.91, 3 Au 2.98
Mo: 0.5000 0.5000 0.5000  6 Mo 2.86, 6 Ag 2.91
Au: 0.0000 0.0000 0.0000  6 Au 2.86, 6 Ag 2.98

## B
Computed, not measured: a relaxed structure of Ag2MoAu at the PBE level of DFT.

Calculated values
- spin magnetization (μB/atom) = 0.000
- crystal system = orthorhombic

Lattice parameters (Å, degrees): 2.7581 4.1785 6.0136 90.00 90.00 90.00
Closest atoms and distances in Å follow each position.
Positions (direct):
Ag: 0.0000 0.0000 0.0000  6 Ag 2.76-2.90, 1 Au 2.87, 4 Mo 2.96
Ag: 0.5000 0.5000 0.2435  6 Ag 2.76-2.90, 2 Mo 2.97-3.04, 4 Au 3.01
Mo: 0.5000 0.5000 0.7376  2 Mo 2.76, 4 Au 2.82, 6 Ag 2.96-3.04
Au: 0.0000 0.0000 0.5225  2 Au 2.76, 4 Mo 2.82, 5 Ag 2.87-3.01

## C
Computed, not measured: a relaxed structure of Ag2MoAu at the PBE level of DFT.

Calculated values
- spin magnetization (μB/atom) = 0.301
- crystal system = cubic

Lattice parameters (Å, degrees): 4.6177 4.6177 4.6177 60.00 60.00 60.00
Closest atoms and distances in Å follow each position.
Positions (direct):
Ag: 0.2500 0.2500 0.2500  4 Mo 2.83, 4 Au 2.83
Ag: 0.7500 0.7500 0.7500  4 Au 2.83, 4 Mo 2.83
Mo: 0.0000 0.0000 0.0000  8 Ag 2.83
Au: 0.5000 0.5000 0.5000  8 Ag 2.83

Tell me which of them is the least stable. Sure, it is C.